{"formula": "HoBeAs", "functional": "PBE", "state": "optimized geometry", "volume_a3_per_cell": 125.3, "delta_e_f_ev_per_fu": -0.2, "spacegroup": "P-6m2, No. 187", "lattice_angstrom": [[-1.610, 1.796, 2.976], [-2.206, -1.573, -2.709], [-0.141, -8.469, 5.034]], "species": ["Be", "Be", "Ho", "Ho", "As", "As"], "frac_coords": [[0.444, 0.889, 0.000], [0.445, 0.890, 0.500], [0.778, 0.555, 0.189], [0.778, 0.555, 0.811], [0.111, 0.222, 0.370], [0.111, 0.222, 0.630]]}

***

{"formula": "Ho2BeAs", "functional": "PBE", "state": "optimized geometry", "volume_a3_per_cell": 117.5, "delta_e_f_ev_per_fu": 0.5, "spacegroup": "R-3m, No. 166", "lattice_angstrom": [[-0.198, -1.744, 3.417], [2.638, -2.617, 0.976], [6.021, 5.169, 5.148]], "species": ["Be", "As", "Ho", "Ho"], "frac_coords": [[0.000, 0.000, 0.000], [0.500, 0.500, 0.500], [0.105, 0.105, 0.685], [0.895, 0.895, 0.315]]}

***

{"formula": "Be2AsI", "functional": "PBE", "state": "optimized geometry", "volume_a3_per_cell": 68.7, "spacegroup": "Fm-3m, No. 225", "e_form_raw_ev_per_atom": 0.99, "lattice_angstrom": [[1.415, -4.216, -1.164], [2.151, -2.637, 3.090], [-2.113, -3.695, 1.736]], "species": ["I", "Be", "Be", "As"], "frac_coords": [[0.500, 0.500, 0.500], [0.250, 0.250, 0.250], [0.750, 0.750, 0.750], [0.000, 0.000, 0.000]]}

***

{"formula": "BeAs2I2", "functional": "PBE", "state": "optimized geometry", "volume_a3_per_cell": 476.0, "spacegroup": "P4/mbm, No. 127", "e_form_raw_ev_per_atom": 0.36, "lattice_angstrom": [[-1.033, 6.421, -2.829], [-5.769, 0.851, 4.037], [5.329, 3.855, 6.803]], "species": ["I", "I", "I", "I", "Be", "Be", "As", "As", "As", "As"], "frac_coords": [[0.311, 0.811, 0.000], [0.811, 0.689, 0.000], [0.689, 0.189, 0.000], [0.189, 0.311, 0.000], [0.000, 0.000, 0.000], [0.500, 0.500, 0.000], [0.106, 0.606, 0.500], [0.606, 0.894, 0.500], [0.894, 0.394, 0.500], [0.394, 0.106, 0.500]]}

***

{"formula": "BeAs2I2", "functional": "PBE", "state": "optimized geometry", "volume_a3_per_cell": 162.2, "spacegroup": "I4/mmm, No. 139", "e_form_raw_ev_per_atom": 0.54, "lattice_angstrom": [[-0.662, 3.524, 0.452], [-3.385, -0.486, -1.169], [-5.731, -0.671, 11.287]], "species": ["I", "I", "Be", "As", "As"], "frac_coords": [[0.431, 0.431, 0.137], [0.569, 0.569, 0.863], [0.000, 0.000, 0.000], [0.750, 0.250, 0.500], [0.250, 0.750, 0.500]]}

***

{"formula": "Be3AsI", "functional": "PBE", "state": "optimized geometry", "volume_a3_per_cell": 104.6, "spacegroup": "Pm-3m, No. 221", "e_form_raw_ev_per_atom": 1.60, "lattice_angstrom": [[4.712, 0.000, 0.000], [0.000, 4.712, 0.000], [0.000, 0.000, 4.712]], "species": ["I", "Be", "Be", "Be", "As"], "frac_coords": [[0.000, 0.000, 0.000], [0.000, 0.500, 0.000], [0.000, 0.000, 0.500], [0.500, 0.000, 0.000], [0.500, 0.500, 0.500]]}

***

{"formula": "BeAsI2", "functional": "PBE", "state": "optimized geometry", "volume_a3_per_cell": 96.7, "spacegroup": "Fm-3m, No. 225", "e_form_raw_ev_per_atom": 0.92, "lattice_angstrom": [[1.434, -2.531, 4.252], [1.163, 2.614, 4.284], [-3.152, -0.192, 4.070]], "species": ["I", "I", "Be", "As"], "frac_coords": [[0.250, 0.250, 0.250], [0.750, 0.750, 0.750], [0.000, 0.000, 0.000], [0.500, 0.500, 0.500]]}

***

{"formula": "Be2AsI", "functional": "PBE", "state": "optimized geometry", "volume_a3_per_cell": 80.4, "spacegroup": "R-3m, No. 166", "e_form_raw_ev_per_atom": 0.00, "lattice_angstrom": [[-1.507, -2.961, 1.766], [-1.395, -2.869, -1.994], [4.902, -4.870, 0.027]], "species": ["I", "Be", "Be", "As"], "frac_coords": [[0.000, 0.000, 0.000], [0.121, 0.121, 0.636], [0.879, 0.879, 0.364], [0.500, 0.500, 0.500]]}

***

For reference, total DFT energy (no corrections) by record: -0.323 -0.312 -0.178 -0.211 -0.197 -0.138 -0.143 -0.251 Ry per atom.